No. 1
# PrSeI PBE relaxed
data_PrSeI
_symmetry_space_group_name_H-M 'P 1'
_symmetry_Int_Tables_number 1
_cell_length_a 5.264
_cell_length_b 5.264
_cell_length_c 5.264
_cell_angle_alpha 60.00
_cell_angle_beta 60.00
_cell_angle_gamma 60.00
loop_
_symmetry_equiv_pos_as_xyz
'x,y,z'
loop_
_atom_site_label
_atom_site_fract_x
_atom_site_fract_y
_atom_site_fract_z
_atom_site_occupancy
Se1 0.000 0.000 0.000 1
Pr1 0.250 0.250 0.250 1
I1 0.500 0.500 0.500 1
# DFT total energy   -14.1 eV for the cell shown
# Space group   F-43m
# Total moment   0.00 Bohr magnetons per cell

No. 2
# Pr2SeI PBE relaxed
data_Pr2SeI
_symmetry_space_group_name_H-M 'P 1'
_symmetry_Int_Tables_number 1
_cell_length_a 3.790
_cell_length_b 3.790
_cell_length_c 7.636
_cell_angle_alpha 90.00
_cell_angle_beta 90.00
_cell_angle_gamma 90.00
loop_
_symmetry_equiv_pos_as_xyz
'x,y,z'
loop_
_atom_site_label
_atom_site_fract_x
_atom_site_fract_y
_atom_site_fract_z
_atom_site_occupancy
Se1 0.500 0.500 0.000 1
I1 0.500 0.500 0.500 1
Pr1 0.000 0.000 0.231 1
Pr2 0.000 0.000 0.769 1
# Energy above the most stable polymorph in this dataset   100 meV/atom
# DFT total energy   -19.6 eV for the cell shown
# Space group   P4/mmm
# Total moment   0.00 Bohr magnetons per cell

No. 3
# Pr4SiSeI2 PBE relaxed
data_Pr4SiSeI2
_symmetry_space_group_name_H-M 'P 1'
_symmetry_Int_Tables_number 1
_cell_length_a 4.368
_cell_length_b 7.530
_cell_length_c 8.118
_cell_angle_alpha 108.32
_cell_angle_beta 90.00
_cell_angle_gamma 90.00
loop_
_symmetry_equiv_pos_as_xyz
'x,y,z'
loop_
_atom_site_label
_atom_site_fract_x
_atom_site_fract_y
_atom_site_fract_z
_atom_site_occupancy
Se1 0.000 0.000 0.000 1
Pr1 0.000 0.723 0.196 1
Pr2 0.500 0.242 0.194 1
Pr3 0.500 0.758 0.806 1
Pr4 0.000 0.277 0.804 1
Si1 0.500 0.500 0.000 1
I1 0.000 0.500 0.500 1
I2 0.500 0.000 0.500 1
# DFT total energy   -40.7 eV for the cell shown
# Space group   P2/m
# Total moment   0.00 Bohr magnetons per cell

No. 4
# Pr6Si2Se3I PBE relaxed
data_Pr6Si2Se3I
_symmetry_space_group_name_H-M 'P 1'
_symmetry_Int_Tables_number 1
_cell_length_a 4.302
_cell_length_b 8.797
_cell_length_c 9.669
_cell_angle_alpha 101.80
_cell_angle_beta 102.85
_cell_angle_gamma 90.00
loop_
_symmetry_equiv_pos_as_xyz
'x,y,z'
loop_
_atom_site_label
_atom_site_fract_x
_atom_site_fract_y
_atom_site_fract_z
_atom_site_occupancy
Se1 0.840 0.162 0.680 1
Se2 0.500 0.500 0.000 1
Se3 0.160 0.838 0.320 1
Pr1 0.990 0.717 0.981 1
Pr2 0.330 0.421 0.661 1
Pr3 0.678 0.109 0.356 1
Pr4 0.670 0.579 0.339 1
Pr5 0.322 0.891 0.644 1
Pr6 0.010 0.283 0.019 1
Si1 0.168 0.335 0.336 1
Si2 0.832 0.665 0.664 1
I1 0.500 0.000 0.000 1
# DFT total energy   -67.8 eV for the cell shown
# Space group   C2/m
# Total moment   0.00 Bohr magnetons per cell

No. 5
# Pr4SiSe2I PBE relaxed
data_Pr4SiSe2I
_symmetry_space_group_name_H-M 'P 1'
_symmetry_Int_Tables_number 1
_cell_length_a 4.315
_cell_length_b 7.422
_cell_length_c 7.777
_cell_angle_alpha 71.16
_cell_angle_beta 90.00
_cell_angle_gamma 90.00
loop_
_symmetry_equiv_pos_as_xyz
'x,y,z'
loop_
_atom_site_label
_atom_site_fract_x
_atom_site_fract_y
_atom_site_fract_z
_atom_site_occupancy
Se1 0.500 0.000 0.500 1
Se2 0.000 0.000 0.000 1
Pr1 0.500 0.253 0.724 1
Pr2 0.500 0.747 0.276 1
Pr3 0.000 0.234 0.288 1
Pr4 0.000 0.766 0.712 1
Si1 0.000 0.500 0.500 1
I1 0.500 0.500 0.000 1
# DFT total energy   -44.0 eV for the cell shown
# Space group   P2/m
# Total moment   0.00 Bohr magnetons per cell

No. 6
# Pr8SiSe3I4 PBE relaxed
data_Pr8SiSe3I4
_symmetry_space_group_name_H-M 'P 1'
_symmetry_Int_Tables_number 1
_cell_length_a 8.708
_cell_length_b 9.171
_cell_length_c 8.708
_cell_angle_alpha 118.34
_cell_angle_beta 120.00
_cell_angle_gamma 90.00
loop_
_symmetry_equiv_pos_as_xyz
'x,y,z'
loop_
_atom_site_label
_atom_site_fract_x
_atom_site_fract_y
_atom_site_fract_z
_atom_site_occupancy
Pr1 0.262 0.305 0.034 1
Pr2 0.738 0.695 0.966 1
Pr3 0.772 0.306 0.544 1
Pr4 0.269 0.309 0.539 1
Pr5 0.229 0.695 0.966 1
Pr6 0.228 0.694 0.456 1
Pr7 0.771 0.305 0.034 1
Pr8 0.731 0.691 0.461 1
Se1 0.500 0.500 0.500 1
Se2 0.000 0.500 0.500 1
Se3 0.500 0.500 0.000 1
I1 0.500 0.000 0.000 1
I2 0.000 0.000 0.500 1
I3 0.000 0.000 0.000 1
I4 0.500 0.000 0.500 1
Si1 0.000 0.500 0.000 1
# DFT total energy   -80.9 eV for the cell shown
# Space group   R-3m
# Total moment   0.00 Bohr magnetons per cell

No. 7
# Pr6Si2SeI3 PBE relaxed
data_Pr6Si2SeI3
_symmetry_space_group_name_H-M 'P 1'
_symmetry_Int_Tables_number 1
_cell_length_a 7.529
_cell_length_b 7.529
_cell_length_c 8.175
_cell_angle_alpha 98.83
_cell_angle_beta 98.83
_cell_angle_gamma 120.00
loop_
_symmetry_equiv_pos_as_xyz
'x,y,z'
loop_
_atom_site_label
_atom_site_fract_x
_atom_site_fract_y
_atom_site_fract_z
_atom_site_occupancy
Pr1 0.724 0.724 0.195 1
Pr2 0.594 0.935 0.804 1
Pr3 0.276 0.276 0.805 1
Pr4 0.406 0.065 0.196 1
Pr5 0.935 0.594 0.804 1
Pr6 0.065 0.406 0.196 1
I1 0.500 0.500 0.500 1
I2 0.167 0.833 0.500 1
I3 0.833 0.167 0.500 1
Se1 0.000 0.000 0.000 1
Si1 0.667 0.333 0.000 1
Si2 0.333 0.667 0.000 1
# DFT total energy   -61.3 eV for the cell shown
# Space group   C2/m
# Total moment   0.00 Bohr magnetons per cell

No. 8
# PrSmSeI PBE relaxed
data_PrSmSeI
_symmetry_space_group_name_H-M 'P 1'
_symmetry_Int_Tables_number 1
_cell_length_a 5.327
_cell_length_b 5.327
_cell_length_c 5.327
_cell_angle_alpha 60.00
_cell_angle_beta 60.00
_cell_angle_gamma 60.00
loop_
_symmetry_equiv_pos_as_xyz
'x,y,z'
loop_
_atom_site_label
_atom_site_fract_x
_atom_site_fract_y
_atom_site_fract_z
_atom_site_occupancy
I1 0.250 0.250 0.250 1
Se1 0.750 0.750 0.750 1
Sm1 0.000 0.000 0.000 1
Pr1 0.500 0.500 0.500 1
# Energy above the most stable polymorph in this dataset   147 meV/atom
# DFT total energy   -19.3 eV for the cell shown
# Space group   F-43m
# Total moment   0.00 Bohr magnetons per cell

No. 9
# PrSmSeI PBE relaxed
data_PrSmSeI
_symmetry_space_group_name_H-M 'P 1'
_symmetry_Int_Tables_number 1
_cell_length_a 4.113
_cell_length_b 4.116
_cell_length_c 8.450
_cell_angle_alpha 90.00
_cell_angle_beta 104.01
_cell_angle_gamma 120.02
loop_
_symmetry_equiv_pos_as_xyz
'x,y,z'
loop_
_atom_site_label
_atom_site_fract_x
_atom_site_fract_y
_atom_site_fract_z
_atom_site_occupancy
Se1 0.307 0.552 0.874 1
Sm1 0.108 0.952 0.075 1
Pr1 0.499 0.147 0.661 1
I1 0.964 0.380 0.360 1
# Energy above the most stable polymorph in this dataset   0 meV/atom
# DFT total energy   -19.8 eV for the cell shown
# Space group   Cm
# Total moment   0.00 Bohr magnetons per cell

No. 10
# Pr6Sn2Se3I PBE relaxed
data_Pr6Sn2Se3I
_symmetry_space_group_name_H-M 'P 1'
_symmetry_Int_Tables_number 1
_cell_length_a 4.398
_cell_length_b 8.934
_cell_length_c 9.888
_cell_angle_alpha 102.44
_cell_angle_beta 102.85
_cell_angle_gamma 90.00
loop_
_symmetry_equiv_pos_as_xyz
'x,y,z'
loop_
_atom_site_label
_atom_site_fract_x
_atom_site_fract_y
_atom_site_fract_z
_atom_site_occupancy
Sn1 0.166 0.332 0.332 1
Sn2 0.834 0.668 0.668 1
Se1 0.500 0.500 0.000 1
Se2 0.838 0.164 0.675 1
Se3 0.162 0.836 0.325 1
Pr1 0.665 0.589 0.330 1
Pr2 0.000 0.282 0.001 1
Pr3 0.335 0.411 0.670 1
Pr4 0.000 0.718 0.999 1
Pr5 0.678 0.088 0.355 1
Pr6 0.322 0.912 0.645 1
I1 0.500 0.000 0.000 1
# DFT total energy   -64.7 eV for the cell shown
# Space group   C2/m
# Total moment   0.00 Bohr magnetons per cell

No. 11
# PrYSeI PBE relaxed
data_PrYSeI
_symmetry_space_group_name_H-M 'P 1'
_symmetry_Int_Tables_number 1
_cell_length_a 4.083
_cell_length_b 4.085
_cell_length_c 8.364
_cell_angle_alpha 90.00
_cell_angle_beta 104.06
_cell_angle_gamma 120.02
loop_
_symmetry_equiv_pos_as_xyz
'x,y,z'
loop_
_atom_site_label
_atom_site_fract_x
_atom_site_fract_y
_atom_site_fract_z
_atom_site_occupancy
Pr1 0.940 0.368 0.323 1
Y1 0.332 0.564 0.912 1
Se1 0.127 0.961 0.103 1
I1 0.479 0.137 0.631 1
# DFT total energy   -21.4 eV for the cell shown
# Space group   Cm
# Total moment   0.00 Bohr magnetons per cell

No. 12
# Pr8ZnSe3I4 PBE relaxed
data_Pr8ZnSe3I4
_symmetry_space_group_name_H-M 'P 1'
_symmetry_Int_Tables_number 1
_cell_length_a 8.680
_cell_length_b 9.228
_cell_length_c 8.682
_cell_angle_alpha 118.07
_cell_angle_beta 119.99
_cell_angle_gamma 90.00
loop_
_symmetry_equiv_pos_as_xyz
'x,y,z'
loop_
_atom_site_label
_atom_site_fract_x
_atom_site_fract_y
_atom_site_fract_z
_atom_site_occupancy
I1 0.500 0.000 0.500 1
I2 0.000 0.000 0.000 1
I3 0.500 0.000 0.000 1
I4 0.000 0.000 0.500 1
Pr1 0.769 0.302 0.033 1
Pr2 0.769 0.302 0.538 1
Pr3 0.231 0.698 0.967 1
Pr4 0.731 0.694 0.462 1
Pr5 0.269 0.306 0.538 1
Pr6 0.231 0.698 0.462 1
Pr7 0.264 0.302 0.033 1
Pr8 0.736 0.698 0.967 1
Se1 0.000 0.500 0.500 1
Se2 0.500 0.500 0.500 1
Se3 0.500 0.500 0.000 1
Zn1 0.000 0.500 0.000 1
# DFT total energy   -75.2 eV for the cell shown
# Space group   R-3m
# Total moment   0.00 Bohr magnetons per cell